Record 1
Compound: Cs3Th5O12
Source: the Alexandria database
Functional: PBE-GGA
Structure: relaxed

```
Cs3Th5O12
1.0
13.3218 0.0000 0.0000
-4.4406 12.5599 0.0000
-4.4406 -6.2800 10.8772
Th O Cs
20 48 12
direct
0.6250 0.8750 0.2500 Th
0.7500 0.1250 0.8750 Th
0.1250 0.7500 0.3750 Th
0.5000 0.0000 0.0000 Th
0.2500 0.8750 0.1250 Th
0.0000 0.5000 0.5000 Th
0.8750 0.6250 0.7500 Th
0.7500 0.6250 0.3750 Th
0.0000 0.5000 0.0000 Th
0.1250 0.3750 0.2500 Th
0.5000 0.5000 0.0000 Th
0.6250 0.7500 0.8750 Th
0.3750 0.1250 0.7500 Th
0.8750 0.2500 0.6250 Th
0.5000 0.0000 0.5000 Th
0.0000 0.0000 0.5000 Th
0.5000 0.5000 0.5000 Th
0.0000 0.0000 0.0000 Th
0.2500 0.3750 0.6250 Th
0.3750 0.2500 0.1250 Th
0.1810 0.0738 0.6785 O
0.6047 0.9975 0.1785 O
0.5738 0.8953 0.3928 O
0.3215 0.4262 0.8190 O
0.3953 0.0025 0.8215 O
0.3953 0.3928 0.0738 O
0.9975 0.6047 0.6785 O
0.6072 0.6047 0.4262 O
0.8928 0.8190 0.4975 O
0.4262 0.1047 0.6072 O
0.5025 0.8215 0.8953 O
0.6047 0.6072 0.9262 O
0.5738 0.6785 0.6810 O
0.3215 0.8953 0.0025 O
0.1785 0.6810 0.0738 O
0.0025 0.3953 0.3215 O
0.8215 0.5025 0.3953 O
0.9975 0.3928 0.8190 O
0.6072 0.0025 0.6810 O
0.3190 0.8215 0.4262 O
0.9262 0.1072 0.6047 O
0.8928 0.0738 0.8953 O
0.5025 0.6810 0.1072 O
0.6810 0.5025 0.6072 O
0.6810 0.1785 0.5738 O
0.4975 0.3190 0.8928 O
0.4975 0.1785 0.1047 O
0.6785 0.1047 0.9975 O
0.1047 0.4262 0.1072 O
0.0738 0.1810 0.1785 O
0.1072 0.1810 0.5025 O
0.6785 0.5738 0.1810 O
0.1810 0.1072 0.0025 O
0.8215 0.3190 0.9262 O
0.0025 0.6072 0.1810 O
0.3928 0.9975 0.3190 O
0.3190 0.4975 0.3928 O
0.0738 0.8928 0.3953 O
0.8953 0.3215 0.5025 O
0.8190 0.8928 0.9975 O
0.3928 0.3953 0.5738 O
0.1072 0.9262 0.1047 O
0.4262 0.3215 0.3190 O
0.8953 0.5738 0.8928 O
0.9262 0.8190 0.8215 O
0.1785 0.4975 0.6047 O
0.1047 0.6785 0.4975 O
0.8190 0.9262 0.3215 O
0.7500 0.3750 0.1250 Cs
0.2500 0.1250 0.3750 Cs
0.6250 0.2500 0.3750 Cs
0.2500 0.6250 0.8750 Cs
0.7500 0.8750 0.6250 Cs
0.6250 0.3750 0.7500 Cs
0.1250 0.8750 0.7500 Cs
0.1250 0.2500 0.8750 Cs
0.3750 0.7500 0.6250 Cs
0.8750 0.1250 0.2500 Cs
0.8750 0.7500 0.1250 Cs
0.3750 0.6250 0.2500 Cs
```

Values from the calculation:
- Crystal system: cubic
- Raw total energy: -631.3 eV for the cell shown
- Space group: No. 230
- Calculated volume: 1820.0 Å³ per cell

=====

Record 2
Compound: Cs4ThO4
Source: the Alexandria database
Functional: PBE-GGA
Structure: relaxed

```
Cs4ThO4
1.0
-3.2414 -1.5823 -1.3821
2.2221 -4.9397 -4.9543
-0.2791 -8.3191 4.7810
Cs O Th
4 4 1
direct
0.2858 0.6149 0.8135 Cs
0.0953 0.1780 0.6315 Cs
0.9047 0.8220 0.3685 Cs
0.7142 0.3851 0.1865 Cs
0.3519 0.0682 0.2280 O
0.6481 0.9318 0.7720 O
0.9292 0.2078 0.9339 O
0.0708 0.7922 0.0661 O
0.5000 0.0000 0.0000 Th
```

Values from the calculation:
- Crystal system: monoclinic
- Raw total energy: -48.6 eV for the cell shown
- Space group: No. 12
- Calculated volume: 252.2 Å³ per cell

=====

Record 3
Compound: CsThO3
Source: the Alexandria database
Functional: PBE-GGA
Structure: relaxed

```
CsThO3
1.0
4.5923 0.0000 0.0000
0.0000 4.5923 0.0000
0.0000 0.0000 4.5923
O Cs Th
3 1 1
direct
0.0000 0.5000 0.0000 O
0.0000 0.0000 0.5000 O
0.5000 0.0000 0.0000 O
0.5000 0.5000 0.5000 Cs
0.0000 0.0000 0.0000 Th
```

Values from the calculation:
- Crystal system: cubic
- Raw total energy: -35.9 eV for the cell shown
- Space group: No. 221
- Calculated volume: 96.8 Å³ per cell

=====

Record 4
Compound: Cs3ThTl2O6
Source: the Alexandria database
Functional: PBE-GGA
Structure: relaxed

```
Cs3ThTl2O6
1.0
6.7100 0.0000 0.0000
-3.3550 5.8111 0.0000
0.0000 0.0000 7.9402
Cs Tl O Th
3 2 6 1
direct
0.0000 0.0000 0.0000 Cs
0.3333 0.6667 0.6833 Cs
0.6667 0.3333 0.3167 Cs
0.3333 0.6667 0.2350 Tl
0.6667 0.3333 0.7650 Tl
0.1576 0.8424 0.3270 O
0.3152 0.1576 0.6730 O
0.1576 0.3152 0.3270 O
0.6848 0.8424 0.3270 O
0.8424 0.1576 0.6730 O
0.8424 0.6848 0.6730 O
0.0000 0.0000 0.5000 Th
```

Values from the calculation:
- Crystal system: trigonal
- Raw total energy: -63.7 eV for the cell shown
- Space group: No. 164
- Calculated volume: 309.6 Å³ per cell

=====

Record 5
Compound: Cs2ThU3O12
Source: the Alexandria database
Functional: PBE-GGA
Structure: relaxed

```
Cs2ThU3O12
1.0
8.0311 0.0031 0.0022
3.9689 6.9819 0.0022
3.9689 2.3102 6.5886
U O Cs Th
3 12 2 1
direct
0.5000 0.0000 0.0000 U
0.0000 0.0000 0.5000 U
0.0000 0.5000 0.0000 U
0.0721 0.0721 0.6591 O
0.6925 0.0694 0.6925 O
0.3409 0.9279 0.9279 O
0.3075 0.9306 0.3075 O
0.6591 0.0721 0.0721 O
0.9279 0.9279 0.3409 O
0.6925 0.6925 0.0694 O
0.9279 0.3409 0.9279 O
0.0721 0.6591 0.0721 O
0.3075 0.3075 0.9306 O
0.9306 0.3075 0.3075 O
0.0694 0.6925 0.6925 O
0.6216 0.6216 0.6216 Cs
0.3784 0.3784 0.3784 Cs
0.0000 0.0000 0.0000 Th
```

Values from the calculation:
- Crystal system: trigonal
- Raw total energy: -157.9 eV for the cell shown
- Space group: No. 166
- Calculated volume: 369.3 Å³ per cell

=====

Record 6
Compound: Cs3ThU2O9
Source: the Alexandria database
Functional: PBE-GGA
Structure: relaxed

```
Cs3ThU2O9
1.0
6.3107 0.0000 0.0000
-3.1554 5.4652 0.0000
0.0000 0.0000 7.7279
O Cs Th U
9 3 1 2
direct
0.1755 0.8245 0.3217 O
0.1755 0.3511 0.3217 O
0.5000 0.5000 0.0000 O
0.3511 0.1755 0.6783 O
0.6489 0.8245 0.3217 O
0.0000 0.5000 0.0000 O
0.8245 0.6489 0.6783 O
0.5000 0.0000 0.0000 O
0.8245 0.1755 0.6783 O
0.6667 0.3333 0.3337 Cs
0.0000 0.0000 0.0000 Cs
0.3333 0.6667 0.6663 Cs
0.0000 0.0000 0.5000 Th
0.3333 0.6667 0.1627 U
0.6667 0.3333 0.8373 U
```

Values from the calculation:
- Crystal system: trigonal
- Raw total energy: -120.4 eV for the cell shown
- Space group: No. 164
- Calculated volume: 266.5 Å³ per cell

=====

| no. | spin magnetization (μB/cell) |
| --- | --- |
| 1 | 0.00 |
| 2 | 0.00 |
| 3 | 0.45 |
| 4 | 0.00 |
| 5 | 0.00 |
| 6 | 1.00 |